1.
{"formula": "Na2ZnRhO4", "functional": "GGA-PBE", "state": "relaxed", "magnetic_moment_mub_per_atom": 0.122, "total_energy_ev_per_atom": -5.1300, "lattice": [[5.435, 0.000, 0.000], [0.000, 3.129, 0.000], [-1.878, 0.000, 5.295]], "species": ["Na", "Na", "Zn", "Rh", "O", "O", "O", "O"], "frac_coords": [[0.000, 0.000, 0.000], [0.500, 0.500, 0.000], [0.000, 0.500, 0.500], [0.500, 0.000, 0.500], [0.248, 0.000, 0.697], [0.280, 0.500, 0.293], [0.720, 0.500, 0.707], [0.752, 0.000, 0.303]]}

2.
{"formula": "NaZrRhO4", "functional": "GGA-PBE", "state": "relaxed", "magnetic_moment_mub_per_atom": 0.000, "total_energy_ev_per_atom": -7.2907, "lattice": [[-3.291, 3.295, 4.274], [3.291, -3.295, 4.274], [3.291, 3.295, -4.274]], "species": ["Na", "Na", "Zr", "Zr", "Rh", "Rh", "O", "O", "O", "O", "O", "O", "O", "O"], "frac_coords": [[0.366, 0.116, 0.250], [0.634, 0.884, 0.750], [0.000, 0.500, 0.500], [0.500, 0.500, 0.000], [0.000, 0.000, 0.500], [0.000, 0.500, 0.000], [0.199, 0.748, 0.451], [0.204, 0.252, 0.951], [0.246, 0.290, 0.544], [0.246, 0.703, 0.956], [0.754, 0.297, 0.044], [0.754, 0.710, 0.456], [0.796, 0.748, 0.049], [0.801, 0.252, 0.549]]}

3.
{"formula": "Na4ZrRh3O8", "functional": "GGA-PBE", "state": "relaxed", "magnetic_moment_mub_per_atom": 0.000, "total_energy_ev_per_atom": -6.1889, "lattice": [[3.151, 1.819, 5.475], [-3.151, 1.819, 5.475], [0.000, -3.638, 5.475]], "species": ["Na", "Na", "Na", "Na", "Zr", "Rh", "Rh", "Rh", "O", "O", "O", "O", "O", "O", "O", "O"], "frac_coords": [[0.000, 0.000, 0.000], [0.000, 0.500, 0.500], [0.500, 0.000, 0.500], [0.500, 0.500, 0.000], [0.500, 0.500, 0.500], [0.000, 0.000, 0.500], [0.000, 0.500, 0.000], [0.500, 0.000, 0.000], [0.229, 0.229, 0.229], [0.243, 0.737, 0.737], [0.263, 0.263, 0.757], [0.263, 0.757, 0.263], [0.737, 0.243, 0.737], [0.737, 0.737, 0.243], [0.757, 0.263, 0.263], [0.771, 0.771, 0.771]]}

4.
{"formula": "Na2ZrRhO4", "functional": "GGA-PBE", "state": "relaxed", "magnetic_moment_mub_per_atom": 0.125, "total_energy_ev_per_atom": -6.6774, "lattice": [[5.551, 0.000, 0.000], [0.000, 3.203, 0.000], [-2.265, 0.000, 5.577]], "species": ["Na", "Na", "Zr", "Rh", "O", "O", "O", "O"], "frac_coords": [[0.000, 0.000, 0.000], [0.500, 0.500, 0.000], [0.000, 0.500, 0.500], [0.500, 0.000, 0.500], [0.203, 0.000, 0.731], [0.259, 0.500, 0.301], [0.741, 0.500, 0.699], [0.797, 0.000, 0.269]]}

5.
{"formula": "Na4RuO4", "functional": "GGA-PBE", "state": "relaxed", "magnetic_moment_mub_per_atom": 0.000, "total_energy_ev_per_atom": -4.9207, "lattice": [[-2.844, 2.844, 4.760], [2.844, -2.844, 4.760], [2.844, 2.844, -4.760]], "species": ["Na", "Na", "Na", "Na", "Ru", "O", "O", "O", "O"], "frac_coords": [[0.000, 0.500, 0.500], [0.199, 0.199, 0.000], [0.500, 0.000, 0.500], [0.801, 0.801, 0.000], [0.500, 0.500, 0.000], [0.189, 0.593, 0.000], [0.407, 0.407, 0.596], [0.593, 0.189, 0.000], [0.811, 0.811, 0.404]]}

6.
{"formula": "NaRu2O8", "functional": "GGA-PBE", "state": "relaxed", "magnetic_moment_mub_per_atom": 0.095, "e_above_lowest_polymorph_mev_per_atom": 0, "total_energy_ev_per_atom": -6.2302, "lattice": [[5.626, -3.076, 0.000], [5.626, 3.076, 0.000], [-2.068, 0.000, 5.803]], "species": ["Na", "Ru", "Ru", "O", "O", "O", "O", "O", "O", "O", "O"], "frac_coords": [[0.000, 0.000, 0.000], [0.195, 0.195, 0.684], [0.805, 0.805, 0.316], [0.090, 0.639, 0.218], [0.143, 0.143, 0.384], [0.357, 0.357, 0.790], [0.361, 0.910, 0.782], [0.639, 0.090, 0.218], [0.643, 0.643, 0.210], [0.857, 0.857, 0.616], [0.910, 0.361, 0.782]]}